TlCdPb3: optimized geometry, PBE-GGA.

Cell lengths 5.7285, 5.7285, 5.7285 Å; angles 90.00, 90.00, 90.00 degrees
Last column: nearest neighbours and their distance in Å.
Positions (direct):
Pb (0.0000, 0.5000, 0.0000)  2 Cd 2.86
Pb (0.0000, 0.0000, 0.5000)  2 Cd 2.86
Pb (0.5000, 0.0000, 0.0000)  2 Cd 2.86
Tl (0.5000, 0.5000, 0.5000)  12 Pb 4.05
Cd (0.0000, 0.0000, 0.0000)  6 Pb 2.86

Results
E = -2.500 eV/atom
energy above the most stable polymorph in this dataset = 360 meV/atom
energy of formation from the pure elements = 36.8 kJ/mol of atoms